1.
Ta2GaRh2 PBE-GGA relaxed; calculated formation energy = -338.7 meV/atom; final energy = -8.626 eV/atom; space-group type = No. 127
1.0
-3.066 0.136 -6.884
-2.649 -6.979 1.042
-2.492 1.115 1.132
Ta Rh Ga
4 4 2
Cartesian
-2.709 -0.560 -1.556
-4.684 -1.657 -4.824
-5.497 -5.169 -3.154
-3.522 -4.072 0.114
-3.442 -6.025 -1.643
-1.378 -2.568 -0.505
-2.273 -0.818 -4.198
-4.336 -4.275 -5.337
0.000 0.000 0.000
-2.857 -3.422 -2.921

=====

2.
TaGa3Rh PBE-GGA relaxed; calculated formation energy = 1037.5 meV/atom; final energy = -4.619 eV/atom; polymorph energy (0 for the lowest one) = 0.4609 eV/atom; space-group type = No. 221
1.0
-4.199 -2.149 1.394
2.189 -4.401 -0.191
1.331 0.457 4.713
Rh Ga Ta
1 3 1
Cartesian
-0.340 -3.046 2.958
-2.099 -1.075 0.697
1.094 -2.200 -0.096
0.665 0.229 2.357
0.000 0.000 0.000

=====

3.
Ta3GaRh4 PBE-GGA relaxed; calculated formation energy = -512.3 meV/atom; final energy = -9.011 eV/atom; space-group type = No. 51
1.0
4.787 0.000 0.000
0.000 5.704 0.000
0.000 0.000 9.123
Ta Ga Rh
6 2 8
Cartesian
1.860 0.000 2.281
2.983 2.852 6.842
2.927 0.000 6.842
0.000 0.000 0.000
1.804 2.852 2.281
0.000 0.000 4.561
0.000 2.852 4.561
0.000 2.852 0.000
0.589 1.451 6.842
4.198 4.253 2.281
0.589 4.253 6.842
2.393 4.265 0.000
4.198 1.451 2.281
2.393 1.439 4.561
2.393 1.439 0.000
2.393 4.265 4.561

=====

4.
TaGa5Rh6 PBE-GGA relaxed; calculated formation energy = -653.6 meV/atom; final energy = -6.578 eV/atom; space-group type = No. 65
1.0
3.956 -0.024 1.318
0.036 6.677 0.012
0.012 -0.012 6.560
Ga Rh Ta
5 6 1
Cartesian
2.655 3.315 5.282
1.324 -0.012 2.623
2.644 -0.024 5.255
0.018 3.339 0.006
1.349 3.327 2.608
2.005 4.962 0.668
3.323 4.980 3.308
1.987 1.691 0.662
3.305 1.650 3.302
0.681 1.661 4.582
0.699 4.992 4.588
0.000 0.000 0.000

=====

Number 1: theoretical density 12.6 g/cm³. Number 2: theoretical density 6.9 g/cm³. Number 3: theoretical density 13.7 g/cm³. Number 4: theoretical density 11.0 g/cm³.